1.
## CePm2Th3Te6 (PBE)

Data for a geometry-optimized CePm2Th3Te6 structure.

Properties
Formation energy without anion corrections (meV per atom): -1197
Space group: C2/m

a b c (Å): 4.4030 9.0688 10.1092
angles (deg): 105.97 102.58 90.00
Closest atoms and distances in Å follow each position.
Sites, in units of the cell vectors:
Te 0.0006 0.2485 0.0012  1 Pm 3.13, 2 Ce 3.15, 3 Th 3.17-3.18
Te 0.9994 0.7515 0.9988  1 Pm 3.13, 2 Ce 3.15, 3 Th 3.17-3.18
Te 0.3341 0.9102 0.6682  2 Pm 3.13, 1 Ce 3.14, 3 Th 3.17
Te 0.3320 0.4150 0.6640  3 Pm 3.15, 3 Th 3.19
Te 0.6659 0.0898 0.3318  2 Pm 3.13, 1 Ce 3.14, 3 Th 3.17
Te 0.6680 0.5850 0.3360  3 Pm 3.15, 3 Th 3.19
Pm 0.1659 0.3354 0.3319  6 Te 3.13-3.15
Pm 0.8341 0.6646 0.6681  6 Te 3.13-3.15
Th 0.8326 0.1611 0.6651  6 Te 3.17-3.19
Th 0.1674 0.8389 0.3349  6 Te 3.17-3.19
Th 0.5000 0.5000 0.0000  6 Te 3.17-3.19
Ce 0.5000 0.0000 0.0000  6 Te 3.14-3.15



2.
## Dy2Zn6Ga3 (PBE)

Data for a geometry-optimized Dy2Zn6Ga3 structure.

Properties
Formation energy (eV per atom): -0.333
Space group: P-62m

a b c (Å): 4.0097 7.6371 7.6371
angles (deg): 120.00 90.00 90.00
Closest atoms and distances in Å follow each position.
Sites, in units of the cell vectors:
Ga 0.5000 0.3855 0.3855  5 Zn 2.50-2.65
Ga 0.5000 0.6145 0.0000  5 Zn 2.50-2.65
Ga 0.5000 0.0000 0.6145  5 Zn 2.50-2.65
Zn 0.0000 0.0000 0.8092  2 Ga 2.50, 6 Zn 2.52-2.78
Zn 0.5000 0.0000 0.2869  3 Ga 2.50-2.65, 4 Zn 2.78
Zn 0.5000 0.7131 0.7131  3 Ga 2.50-2.65, 4 Zn 2.78
Zn 0.5000 0.2869 0.0000  3 Ga 2.50-2.65, 4 Zn 2.78
Zn 0.0000 0.8092 0.0000  2 Ga 2.50, 6 Zn 2.52-2.78
Zn 0.0000 0.1908 0.1908  2 Ga 2.50, 6 Zn 2.52-2.78
Dy 0.0000 0.6667 0.3333  6 Ga 3.11, 9 Zn 3.23-3.40
Dy 0.0000 0.3333 0.6667  6 Ga 3.11, 9 Zn 3.23-3.40



3.
## CeDy3Er2Tm6 (PBE)

Data for a geometry-optimized CeDy3Er2Tm6 structure.

Properties
Formation energy (eV per atom): 0.037
Space group: C2/m

a b c (Å): 6.0751 6.0751 11.6116
angles (deg): 95.00 95.00 119.97
Closest atoms and distances in Å follow each position.
Sites, in units of the cell vectors:
Dy 0.1676 0.8324 0.5000  6 Dy 3.50-3.53, 6 Tm 3.51
Dy 0.8324 0.1676 0.5000  6 Dy 3.50-3.53, 6 Tm 3.51
Dy 0.5000 0.5000 0.5000  6 Dy 3.50-3.51, 6 Tm 3.50-3.51
Ce 0.0000 0.0000 0.0000  6 Tm 3.49, 6 Er 3.51
Tm 0.0835 0.4148 0.2495  6 Tm 3.49-3.52, 1 Ce 3.49, 2 Er 3.50, 3 Dy 3.50-3.51
Tm 0.7519 0.7519 0.2496  6 Tm 3.49-3.52, 1 Ce 3.49, 2 Er 3.50, 3 Dy 3.51
Tm 0.5852 0.9165 0.7505  6 Tm 3.49-3.52, 1 Ce 3.49, 2 Er 3.50, 3 Dy 3.50-3.51
Tm 0.9165 0.5852 0.7505  6 Tm 3.49-3.52, 1 Ce 3.49, 2 Er 3.50, 3 Dy 3.50-3.51
Tm 0.2481 0.2481 0.7504  6 Tm 3.49-3.52, 1 Ce 3.49, 2 Er 3.50, 3 Dy 3.51
Tm 0.4148 0.0835 0.2495  6 Tm 3.49-3.52, 1 Ce 3.49, 2 Er 3.50, 3 Dy 3.50-3.51
Er 0.6667 0.3333 0.0000  6 Tm 3.50, 3 Ce 3.51, 3 Er 3.51
Er 0.3333 0.6667 0.0000  6 Tm 3.50, 3 Ce 3.51, 3 Er 3.51



4.
## Cs2Rb5Zn (PBE)

Data for a geometry-optimized Cs2Rb5Zn structure.

Properties
Formation energy (eV per atom): 0.113
Space group: Cm

a b c (Å): 9.3408 9.3408 10.9493
angles (deg): 64.70 64.70 89.98
Closest atoms and distances in Å follow each position.
Sites, in units of the cell vectors:
Rb 0.2266 0.7378 0.0357  1 Zn 3.70
Rb 0.2872 0.2872 0.4256  1 Zn 3.52
Rb 0.7379 0.7379 0.0355  1 Zn 3.69
Rb 0.7378 0.2266 0.0357  1 Zn 3.70
Rb 0.2265 0.2265 0.0359  1 Zn 3.70
Cs 0.7107 0.2110 0.5783  6 Rb 4.86-5.18, 2 Zn 5.16
Cs 0.2110 0.7106 0.5783  6 Rb 4.86-5.18, 2 Zn 5.15-5.16
Zn 0.0854 0.0854 0.8290  5 Rb 3.52-3.70



5.
## PrPd2O4 (PBE)

Data for a geometry-optimized PrPd2O4 structure.

Properties
Formation energy without anion corrections (meV per atom): -1529
Space group: I4_1/a

a b c (Å): 6.6634 6.6634 6.6634
angles (deg): 126.79 126.79 78.59
Closest atoms and distances in Å follow each position.
Sites, in units of the cell vectors:
Pd 0.3750 0.6250 0.7500  4 O 2.03-2.04
Pd 0.3750 0.6250 0.2500  4 O 2.03-2.04
Pd 0.8750 0.6250 0.2500  4 O 2.03-2.04
Pd 0.3750 0.1250 0.7500  4 O 2.03-2.04
O 0.7017 0.8491 0.4499  2 Pd 2.03-2.04
O 0.3508 0.9981 0.9499  2 Pd 2.03-2.04
O 0.7481 0.2983 0.1474  2 Pd 2.03-2.04
O 0.3992 0.2519 0.5501  2 Pd 2.03-2.04
O 0.0483 0.4009 0.0501  2 Pd 2.03-2.04
O 0.0019 0.9517 0.3526  2 Pd 2.03-2.04
O 0.5991 0.6492 0.6474  2 Pd 2.03-2.04
O 0.1509 0.6008 0.8526  2 Pd 2.03-2.04
Pr 0.0000 0.0000 0.0000  8 O 2.46-2.55
Pr 0.7500 0.2500 0.5000  8 O 2.46-2.55



6.
## K2Np3O9 (PBE)

Data for a geometry-optimized K2Np3O9 structure.

Properties
Formation energy without anion corrections (meV per atom): -2685
Space group: C2/c

a b c (Å): 6.1684 6.1684 13.6708
angles (deg): 100.12 97.18 109.48
Closest atoms and distances in Å follow each position.
Sites, in units of the cell vectors:
O 0.1175 0.9461 0.5692  2 Np 2.10-2.13
O 0.0008 0.7509 0.2500  2 Np 2.13
O 0.7716 0.5605 0.4059  2 Np 2.08-2.21
O 0.6913 0.8857 0.0989  2 Np 2.05-2.24
O 0.2243 0.9483 0.0873  2 Np 2.06-2.17
O 0.3087 0.1143 0.9011  2 Np 2.05-2.24
O 0.8770 0.5484 0.9309  2 Np 2.10-2.13
O 0.7132 0.4076 0.5989  2 Np 2.05-2.24
O 0.9992 0.2492 0.7500  2 Np 2.13
O 0.1231 0.4517 0.0691  2 Np 2.10-2.13
O 0.2868 0.5924 0.4011  2 Np 2.05-2.24
O 0.3609 0.1370 0.4127  2 Np 2.06-2.17
O 0.7757 0.0518 0.9127  2 Np 2.06-2.17
O 0.8824 0.0539 0.4309  2 Np 2.10-2.13
O 0.6546 0.3657 0.0941  2 Np 2.08-2.21
O 0.6391 0.8630 0.5873  2 Np 2.06-2.17
O 0.3454 0.6342 0.9059  2 Np 2.08-2.21
O 0.2284 0.4394 0.5941  2 Np 2.08-2.21
Np 0.9234 0.6728 0.0884  6 O 2.06-2.24
Np 0.5000 0.5000 0.5000  6 O 2.05-2.21
Np 0.0844 0.8350 0.4116  6 O 2.06-2.24
Np 0.0766 0.3272 0.9116  6 O 2.06-2.24
Np 0.9156 0.1650 0.5884  6 O 2.06-2.24
Np 0.5000 0.0000 0.0000  6 O 2.05-2.21
K 0.1257 0.7606 0.7309  5 O 2.66-2.95
K 0.8745 0.2394 0.2691  5 O 2.66-2.95
K 0.5298 0.3947 0.7691  5 O 2.66-2.95
K 0.4703 0.6052 0.2309  5 O 2.66-2.95



7.
## UGa2Au (PBE)

Data for a geometry-optimized UGa2Au structure.

Properties
Formation energy (eV per atom): -0.126
Space group: R-3m

a b c (Å): 4.3285 4.3285 5.6090
angles (deg): 67.30 67.30 60.00
Closest atoms and distances in Å follow each position.
Sites, in units of the cell vectors:
Ga 0.7752 0.7752 0.6744  3 Au 2.65
Ga 0.2248 0.2248 0.3256  3 Au 2.65
Au 0.5000 0.5000 0.5000  6 Ga 2.65
U 0.0000 0.0000 0.0000  6 Ga 2.99



8.
## Pm3Sn3Pd (PBE)

Data for a geometry-optimized Pm3Sn3Pd structure.

Properties
Formation energy (eV per atom): -0.830
Space group: C2/m

a b c (Å): 4.6232 6.1706 14.5153
angles (deg): 84.04 80.84 68.00
Closest atoms and distances in Å follow each position.
Sites, in units of the cell vectors:
Pm 0.5971 0.7270 0.0787  7 Sn 3.14-3.47
Pm 0.7390 0.7528 0.7692  6 Sn 3.24-3.37, 2 Pd 3.36
Pm 0.4029 0.2730 0.9213  7 Sn 3.14-3.47
Pm 0.2610 0.2472 0.2308  6 Sn 3.24-3.37, 2 Pd 3.36
Pm 0.4692 0.6796 0.3821  7 Sn 3.20-3.56, 4 Pd 3.29-3.56
Pm 0.5308 0.3204 0.6179  7 Sn 3.20-3.56, 4 Pd 3.29-3.56
Pd 0.2397 0.9123 0.6082  4 Sn 2.70-2.89
Pd 0.7603 0.0877 0.3918  4 Sn 2.70-2.89
Sn 0.8725 0.1792 0.0759  2 Sn 3.00-3.06, 5 Pm 3.14-3.24
Sn 0.1397 0.2642 0.4563  3 Pd 2.70-2.89
Sn 0.8603 0.7358 0.5437  3 Pd 2.70-2.89
Sn 0.1275 0.8208 0.9241  2 Sn 3.00-3.06, 5 Pm 3.14-3.24
Sn 0.0273 0.1807 0.7648  1 Pd 2.78, 1 Sn 3.00
Sn 0.9727 0.8193 0.2352  1 Pd 2.78, 1 Sn 3.00



9.
## AlTe2Br (PBE)

Data for a geometry-optimized AlTe2Br structure.

Properties
Formation energy without anion corrections (meV per atom): -284
Space group: Pm

a b c (Å): 3.6683 6.5853 5.9212
angles (deg): 77.64 90.00 90.00
Closest atoms and distances in Å follow each position.
Sites, in units of the cell vectors:
Br 0.5000 0.6580 0.6523  2 Al 2.58
Al 0.0000 0.3985 0.5957  2 Br 2.58, 3 Te 2.66-2.78
Te 0.0000 0.1093 0.9864  1 Al 2.66
Te 0.5000 0.3342 0.2656  2 Al 2.78, 2 Te 3.06



10.
## LiSiH (PBE)

Data for a geometry-optimized LiSiH structure.

Properties
E (eV per atom): -3.66
Space group: C2/m

a b c (Å): 5.0006 3.7863 8.5064
angles (deg): 90.00 99.80 90.00
Closest atoms and distances in Å follow each position.
Sites, in units of the cell vectors:
Li 0.5000 0.5000 0.5000  2 H 2.11
Li 0.0000 0.5000 0.0000  4 H 2.24
Li 0.5000 0.0000 0.0000  2 H 2.11
Li 0.0000 0.0000 0.5000  4 H 2.24
H 0.1643 0.0000 0.1212  1 Si 1.56
H 0.8357 0.5000 0.3788  1 Si 1.56
H 0.1643 0.5000 0.6212  1 Si 1.56
H 0.8357 0.0000 0.8788  1 Si 1.56
Si 0.3643 0.5000 0.7838  1 H 1.56
Si 0.6357 0.0000 0.7162  1 H 1.56
Si 0.3643 0.0000 0.2838  1 H 1.56
Si 0.6357 0.5000 0.2162  1 H 1.56



11.
## RbUNiN3 (PBE)

Data for a geometry-optimized RbUNiN3 structure.

Properties
Formation energy without anion corrections (meV per atom): -630
Space group: P2_1/m

a b c (Å): 3.6083 7.7689 8.6326
angles (deg): 111.86 90.00 90.00
Closest atoms and distances in Å follow each position.
Sites, in units of the cell vectors:
Rb 0.7500 0.7823 0.7693  6 N 3.02-3.37, 2 Ni 3.34
Rb 0.2500 0.2177 0.2307  6 N 3.02-3.37, 2 Ni 3.34
N 0.7500 0.1137 0.6050  3 Ni 1.89-1.91
N 0.7500 0.4901 0.1208  3 U 2.17-2.32
N 0.2500 0.1572 0.8647  1 Ni 1.93
N 0.2500 0.5099 0.8792  3 U 2.17-2.32
N 0.2500 0.8863 0.3950  3 Ni 1.89-1.91
N 0.7500 0.8428 0.1353  1 Ni 1.93
Ni 0.2500 0.0507 0.6237  4 N 1.89-1.93
Ni 0.7500 0.9493 0.3763  4 N 1.89-1.93
U 0.7500 0.3147 0.8581  6 N 2.16-2.32
U 0.2500 0.6853 0.1419  6 N 2.16-2.32